(1)
LiP2Pb (PBEsol, optimized geometry); formation energy from the elements = -0.03 eV/atom; volume = 18.4 Å³/atom; SG = P4mm (99); E_tot = -4.4162 eV/atom
1.0
3.228 0.000 0.000
0.000 3.228 0.000
0.000 0.000 7.067
Li P Pb
1 2 1
Direct
0.000 0.000 0.000
0.000 0.000 0.345
0.500 0.500 0.233
0.500 0.500 0.707


(2)
NpRh3 (PBEsol, optimized geometry); formation energy from the elements = -0.33 eV/atom; volume = 15.4 Å³/atom; SG = Pm-3m (221); E_tot = -9.8963 eV/atom
1.0
3.951 0.000 0.000
0.000 3.951 0.000
0.000 0.000 3.951
Np Rh
1 3
Direct
0.000 0.000 0.000
0.000 0.500 0.500
0.500 0.000 0.500
0.500 0.500 0.000


(3)
NbVSi4 (PBEsol, optimized geometry); volume = 13.5 Å³/atom; SG = P2 (3); formation energy from raw total energies = -3.6 eV per formula unit; E_tot = -7.8364 eV/atom
1.0
4.646 0.000 0.000
0.000 12.919 0.000
-2.309 0.000 4.053
Nb V Si
3 3 12
Direct
0.000 0.000 0.000
0.000 0.496 0.000
0.500 0.664 0.000
0.000 0.329 0.500
0.000 0.833 0.500
0.500 0.164 0.000
0.175 0.668 0.343
0.178 0.168 0.346
0.335 0.493 0.656
0.336 0.999 0.663
0.342 0.833 0.183
0.344 0.326 0.175
0.656 0.326 0.825
0.658 0.833 0.817
0.664 0.999 0.337
0.665 0.493 0.344
0.822 0.168 0.654
0.825 0.668 0.657


(4)
MnPbO3 (PBEsol, optimized geometry); volume = 11.6 Å³/atom; SG = C2/c (15); formation energy from raw total energies = -7.1 eV per formula unit; E_tot = -7.3221 eV/atom
1.0
2.734 -4.730 0.000
2.734 4.730 0.000
-0.403 0.000 13.453
Mn Pb O
6 6 18
Direct
0.000 0.000 0.000
0.000 0.000 0.500
0.328 0.653 0.845
0.347 0.672 0.655
0.653 0.328 0.345
0.672 0.347 0.155
0.010 0.990 0.750
0.328 0.671 0.091
0.329 0.672 0.409
0.671 0.328 0.591
0.672 0.329 0.909
0.990 0.010 0.250
0.040 0.513 0.739
0.116 0.288 0.905
0.117 0.788 0.918
0.207 0.373 0.561
0.212 0.883 0.582
0.288 0.116 0.405
0.373 0.207 0.061
0.487 0.513 0.750
0.487 0.960 0.761
0.513 0.040 0.239
0.513 0.487 0.250
0.627 0.793 0.939
0.712 0.884 0.595
0.788 0.117 0.418
0.793 0.627 0.439
0.883 0.212 0.082
0.884 0.712 0.095
0.960 0.487 0.261


(5)
AlAs2Pb (PBEsol, optimized geometry); formation energy from the elements = 0.25 eV/atom; volume = 21.3 Å³/atom; SG = P4/mmm (123); E_tot = -4.3273 eV/atom
1.0
5.182 0.000 0.000
0.000 5.182 0.000
0.000 0.000 3.169
Al As Pb
1 2 1
Direct
0.000 0.000 0.000
0.000 0.500 0.500
0.500 0.000 0.500
0.500 0.500 0.000


(6)
Be2FePt (PBEsol, optimized geometry); formation energy from the elements = -0.43 eV/atom; volume = 10.1 Å³/atom; SG = P4/mmm (123); E_tot = -6.4136 eV/atom
1.0
3.867 0.000 0.000
0.000 3.867 0.000
0.000 0.000 2.689
Be Fe Pt
2 1 1
Direct
0.000 0.500 0.000
0.500 0.000 0.000
0.000 0.000 0.500
0.500 0.500 0.500


(7)
Sc2CdNi (PBEsol, optimized geometry); formation energy from the elements = -0.42 eV/atom; volume = 18.1 Å³/atom; SG = P4/mmm (123); E_tot = -5.5569 eV/atom
1.0
3.193 0.000 0.000
0.000 3.193 0.000
0.000 0.000 7.111
Sc Cd Ni
2 1 1
Direct
0.000 0.000 0.211
0.000 0.000 0.789
0.500 0.500 0.500
0.500 0.500 0.000


(8)
AlFeSe2 (PBEsol, optimized geometry); volume = 18.9 Å³/atom; SG = C2/m (12); formation energy from raw total energies = 0.4 eV per formula unit; E_tot = -5.0931 eV/atom
1.0
3.517 -3.457 0.000
3.517 3.457 0.000
-1.790 0.000 3.111
Al Fe Se
1 1 2
Direct
0.000 0.000 0.000
0.500 0.500 0.000
0.000 0.500 0.500
0.500 0.000 0.500


What did the third record say?
NbVSi4 (PBEsol, optimized geometry); volume = 13.5 Å³/atom; SG = P2 (3); formation energy from raw total energies = -3.6 eV per formula unit; E_tot = -7.8364 eV/atom
1.0
4.646 0.000 0.000
0.000 12.919 0.000
-2.309 0.000 4.053
Nb V Si
3 3 12
Direct
0.000 0.000 0.000
0.000 0.496 0.000
0.500 0.664 0.000
0.000 0.329 0.500
0.000 0.833 0.500
0.500 0.164 0.000
0.175 0.668 0.343
0.178 0.168 0.346
0.335 0.493 0.656
0.336 0.999 0.663
0.342 0.833 0.183
0.344 0.326 0.175
0.656 0.326 0.825
0.658 0.833 0.817
0.664 0.999 0.337
0.665 0.493 0.344
0.822 0.168 0.654
0.825 0.668 0.657


Which value of E_tot does entry 3 give? -7.8364 eV/atom


Among the records above, which one has the lowest E_tot? NpRh3